No. 1
Density functional theory data (PBE) for a geometry-optimized NaGa2Br structure.

```
data_NaGa2Br
_space_group_name_H-M_alt 'P 1'
_space_group_IT_number 1
_cell_length_a 5.364
_cell_length_b 5.364
_cell_length_c 5.364
_cell_angle_alpha 60.00
_cell_angle_beta 60.00
_cell_angle_gamma 60.00
loop_
_space_group_symop_operation_xyz
'x,y,z'
loop_
_atom_site_label
_atom_site_fract_x
_atom_site_fract_y
_atom_site_fract_z
Ga1 0.250 0.250 0.250
Ga2 0.750 0.750 0.750
Br1 0.500 0.500 0.500
Na1 0.000 0.000 0.000
```

Energy above the lowest structure with this stoichiometry: 0.219 eV per atom
Formation energy (no corrections): 0.04 eV per atom
Space group: No. 225

No. 2
Density functional theory data (PBE) for a geometry-optimized NaGaBr4 structure.

```
data_NaGaBr4
_space_group_name_H-M_alt 'P 1'
_space_group_IT_number 1
_cell_length_a 7.020
_cell_length_b 7.020
_cell_length_c 9.089
_cell_angle_alpha 86.28
_cell_angle_beta 86.28
_cell_angle_gamma 81.14
loop_
_space_group_symop_operation_xyz
'x,y,z'
loop_
_atom_site_label
_atom_site_fract_x
_atom_site_fract_y
_atom_site_fract_z
Br1 0.285 0.688 0.463
Br2 0.715 0.312 0.537
Br3 0.802 0.823 0.742
Br4 0.688 0.285 0.963
Br5 0.177 0.198 0.758
Br6 0.312 0.715 0.037
Br7 0.198 0.177 0.258
Br8 0.823 0.802 0.242
Ga1 0.851 0.149 0.750
Ga2 0.149 0.851 0.250
Na1 0.000 0.500 0.000
Na2 0.500 0.000 0.500
```

Energy above the lowest structure with this stoichiometry: 0.012 eV per atom
Formation energy (no corrections): -1.09 eV per atom
Space group: No. 15

No. 3
Density functional theory data (PBE) for a geometry-optimized Na2GaBr5 structure.

```
data_Na2GaBr5
_space_group_name_H-M_alt 'P 1'
_space_group_IT_number 1
_cell_length_a 7.722
_cell_length_b 7.722
_cell_length_c 7.840
_cell_angle_alpha 119.45
_cell_angle_beta 119.52
_cell_angle_gamma 89.99
loop_
_space_group_symop_operation_xyz
'x,y,z'
loop_
_atom_site_label
_atom_site_fract_x
_atom_site_fract_y
_atom_site_fract_z
Ga1 0.998 0.999 0.997
Br1 0.826 0.826 0.105
Br2 0.788 0.790 0.577
Br3 0.278 0.826 0.105
Br4 0.279 0.279 0.106
Br5 0.827 0.279 0.106
Na1 0.140 0.640 0.279
Na2 0.640 0.139 0.279
```

Energy above the lowest structure with this stoichiometry: 0.060 eV per atom
Formation energy (no corrections): -1.10 eV per atom
Space group: No. 8

- Which value of energy above the lowest structure with this stoichiometry does entry 2 give?
  0.012 eV per atom

Repeat the first record exactly.
Density functional theory data (PBE) for a geometry-optimized NaGa2Br structure.

```
data_NaGa2Br
_space_group_name_H-M_alt 'P 1'
_space_group_IT_number 1
_cell_length_a 5.364
_cell_length_b 5.364
_cell_length_c 5.364
_cell_angle_alpha 60.00
_cell_angle_beta 60.00
_cell_angle_gamma 60.00
loop_
_space_group_symop_operation_xyz
'x,y,z'
loop_
_atom_site_label
_atom_site_fract_x
_atom_site_fract_y
_atom_site_fract_z
Ga1 0.250 0.250 0.250
Ga2 0.750 0.750 0.750
Br1 0.500 0.500 0.500
Na1 0.000 0.000 0.000
```

Energy above the lowest structure with this stoichiometry: 0.219 eV per atom
Formation energy (no corrections): 0.04 eV per atom
Space group: No. 225